# 1
Below is an optimized crystal structure of TbMg2Cd, with properties calculated at the PBE level.

Output
Symmetry: Fm-3m
Electronic total energy, eV/atom: -2.31
Excess energy over the best structure of this formula in the dataset, kJ per mole of atoms: 6.9

```
TbMg2Cd
1.0
7.205 0.000 0.000
0.000 7.205 0.000
0.000 0.000 7.205
Tb Mg Cd
4 8 4
direct
0.000 0.000 0.000 Tb
0.000 0.500 0.500 Tb
0.500 0.000 0.500 Tb
0.500 0.500 0.000 Tb
0.250 0.250 0.250 Mg
0.250 0.250 0.750 Mg
0.250 0.750 0.250 Mg
0.250 0.750 0.750 Mg
0.750 0.250 0.250 Mg
0.750 0.250 0.750 Mg
0.750 0.750 0.250 Mg
0.750 0.750 0.750 Mg
0.000 0.000 0.500 Cd
0.000 0.500 0.000 Cd
0.500 0.000 0.000 Cd
0.500 0.500 0.500 Cd
```


# 2
Below is an optimized crystal structure of TbMgCd6, with properties calculated at the PBE level.

Output
Symmetry: Amm2
Electronic total energy, eV/atom: -1.64
Excess energy over the best structure of this formula in the dataset, kJ per mole of atoms: 0.0

```
TbMgCd6
1.0
4.852 0.000 0.000
0.000 7.252 0.000
0.000 0.000 10.538
Tb Mg Cd
2 2 12
direct
0.000 0.000 0.000 Tb
0.000 0.500 0.500 Tb
0.500 0.000 0.248 Mg
0.500 0.500 0.748 Mg
0.000 0.000 0.438 Cd
0.000 0.212 0.722 Cd
0.000 0.288 0.222 Cd
0.000 0.500 0.938 Cd
0.000 0.712 0.222 Cd
0.000 0.788 0.722 Cd
0.500 0.000 0.806 Cd
0.500 0.213 0.529 Cd
0.500 0.287 0.029 Cd
0.500 0.500 0.306 Cd
0.500 0.713 0.029 Cd
0.500 0.787 0.529 Cd
```


# 3
Below is an optimized crystal structure of TbMgCd6, with properties calculated at the PBE level.

Output
Symmetry: P4/mmm
Electronic total energy, eV/atom: -1.63
Excess energy over the best structure of this formula in the dataset, kJ per mole of atoms: 0.4

```
TbMgCd6
1.0
4.627 0.000 0.000
0.000 4.627 0.000
0.000 0.000 8.641
Tb Mg Cd
1 1 6
direct
0.000 0.000 0.000 Tb
0.000 0.000 0.500 Mg
0.000 0.500 0.260 Cd
0.000 0.500 0.740 Cd
0.500 0.000 0.260 Cd
0.500 0.000 0.740 Cd
0.500 0.500 0.000 Cd
0.500 0.500 0.500 Cd
```


# 4
Below is an optimized crystal structure of Tb3Mg4Cd2, with properties calculated at the PBE level.

Output
Symmetry: C2/m
Electronic total energy, eV/atom: -2.63
Excess energy over the best structure of this formula in the dataset, kJ per mole of atoms: 0.0

```
Tb3Mg4Cd2
1.0
5.552 -2.568 0.000
5.552 2.568 0.000
-5.162 0.000 7.967
Tb Mg Cd
3 4 2
direct
0.000 0.000 0.000 Tb
0.335 0.335 0.333 Tb
0.665 0.665 0.667 Tb
0.062 0.062 0.392 Mg
0.284 0.284 0.948 Mg
0.716 0.716 0.052 Mg
0.938 0.938 0.608 Mg
0.389 0.389 0.723 Cd
0.611 0.611 0.277 Cd
```


# 5
Below is an optimized crystal structure of TbMg2Cd, with properties calculated at the PBE level.

Output
Symmetry: I-4m2
Electronic total energy, eV/atom: -2.39
Excess energy over the best structure of this formula in the dataset, kJ per mole of atoms: 0.0

```
TbMg2Cd
1.0
5.143 0.000 0.000
0.000 5.143 0.000
0.000 0.000 7.203
Tb Mg Cd
2 4 2
direct
0.000 0.000 0.000 Tb
0.500 0.500 0.500 Tb
0.000 0.000 0.500 Mg
0.000 0.500 0.250 Mg
0.500 0.000 0.750 Mg
0.500 0.500 0.000 Mg
0.000 0.500 0.750 Cd
0.500 0.000 0.250 Cd
```


# 6
Below is an optimized crystal structure of Tb2MgCd2, with properties calculated at the PBE level.

Output
Symmetry: R-3m
Electronic total energy, eV/atom: -2.74
Excess energy over the best structure of this formula in the dataset, kJ per mole of atoms: 0.0

```
Tb2MgCd2
1.0
5.201 0.000 0.000
-2.601 4.504 0.000
0.000 0.000 16.392
Tb Mg Cd
6 3 6
direct
0.000 0.000 0.221 Tb
0.000 0.000 0.779 Tb
0.333 0.667 0.446 Tb
0.333 0.667 0.887 Tb
0.667 0.333 0.113 Tb
0.667 0.333 0.554 Tb
0.000 0.000 0.000 Mg
0.333 0.667 0.667 Mg
0.667 0.333 0.333 Mg
0.000 0.000 0.410 Cd
0.000 0.000 0.590 Cd
0.333 0.667 0.077 Cd
0.333 0.667 0.257 Cd
0.667 0.333 0.743 Cd
0.667 0.333 0.923 Cd
```


# 7
Below is an optimized crystal structure of Tb6MgCd2, with properties calculated at the PBE level.

Output
Symmetry: Immm
Electronic total energy, eV/atom: -3.55

```
Tb6MgCd2
1.0
-4.954 5.147 5.231
4.954 -5.147 5.231
4.954 5.147 -5.231
Tb Mg Cd
12 2 4
direct
0.053 0.231 0.822 Tb
0.252 0.300 0.553 Tb
0.252 0.700 0.952 Tb
0.266 0.586 0.320 Tb
0.266 0.946 0.680 Tb
0.409 0.231 0.178 Tb
0.591 0.769 0.822 Tb
0.734 0.054 0.320 Tb
0.734 0.414 0.680 Tb
0.748 0.300 0.048 Tb
0.748 0.700 0.447 Tb
0.947 0.769 0.178 Tb
0.000 0.500 0.500 Mg
0.500 0.500 0.000 Mg
0.000 0.143 0.143 Cd
0.000 0.857 0.857 Cd
0.365 0.000 0.365 Cd
0.635 0.000 0.635 Cd
```


# 8
Below is an optimized crystal structure of Tb2Mg3Cd2, with properties calculated at the PBE level.

Output
Symmetry: C2/m
Electronic total energy, eV/atom: -2.46
Excess energy over the best structure of this formula in the dataset, kJ per mole of atoms: 0.0

```
Tb2Mg3Cd2
1.0
8.944 0.000 0.000
0.000 5.151 0.000
-2.978 0.000 7.541
Tb Mg Cd
4 6 4
direct
0.080 0.000 0.237 Tb
0.420 0.500 0.763 Tb
0.580 0.500 0.237 Tb
0.920 0.000 0.763 Tb
0.000 0.500 0.500 Mg
0.152 0.500 0.957 Mg
0.348 0.000 0.043 Mg
0.500 0.000 0.500 Mg
0.652 0.000 0.957 Mg
0.848 0.500 0.043 Mg
0.214 0.000 0.646 Cd
0.286 0.500 0.354 Cd
0.714 0.500 0.646 Cd
0.786 0.000 0.354 Cd
```


| no. | formation enthalpy at 0 K (eV/atom) | magnetic moment (Bohr magnetons per cell) | density of states at the Fermi level (states/eV/atom) |
| --- | --- | --- | --- |
| 1 | -0.1312 | 0.0 | 0.4802 |
| 2 | -0.1718 | 0.0 | 0.3373 |
| 3 | -0.1679 | 0.0 | 0.4762 |
| 4 | -0.1781 | 0.0 | 0.6926 |
| 5 | -0.2029 | 0.0 | 0.5107 |
| 6 | -0.2062 | 0.0 | 0.8501 |
| 7 | -0.0817 | 0.0 | 1.1230 |
| 8 | -0.1966 | 0.0 | 0.6273 |